No. 1
## Ag2HPt (PBE-GGA)

Data for a relaxed structure of Ag2HPt.

Summary:
SG: No. 122
Crystal system: tetragonal
Distance to the lowest polymorph of the same formula (meV per atom): 321

```
Ag2HPt
1.0
-6.145 -1.327 0.195
0.694 -3.927 -4.864
-2.206 -4.767 -0.533
H Ag Pt
2 4 2
direct
0.500 0.500 0.000
0.250 0.750 0.500
0.522 0.125 0.250
0.228 0.625 0.250
0.375 0.478 0.750
0.875 0.772 0.750
0.000 0.000 0.000
0.750 0.250 0.500
```

***

No. 2
## Sr3In2Pd (PBE-GGA)

Data for a relaxed structure of Sr3In2Pd.

Summary:
SG: No. 62
Energy of formation (kJ/mol of formula units): -274
Crystal system: orthorhombic

```
Sr3In2Pd
1.0
4.768 0.000 0.000
0.000 12.928 0.000
0.000 0.000 13.305
Sr In Pd
12 8 4
direct
0.250 0.381 0.052
0.750 0.619 0.948
0.750 0.881 0.448
0.250 0.119 0.552
0.250 0.702 0.221
0.750 0.298 0.779
0.750 0.202 0.279
0.250 0.798 0.721
0.250 0.446 0.391
0.750 0.554 0.609
0.750 0.946 0.109
0.250 0.054 0.891
0.250 0.697 0.475
0.750 0.303 0.525
0.750 0.197 0.025
0.250 0.803 0.975
0.250 0.001 0.293
0.750 0.999 0.707
0.750 0.501 0.207
0.250 0.499 0.793
0.250 0.129 0.119
0.750 0.871 0.881
0.750 0.629 0.381
0.250 0.371 0.619
```

***

No. 3
## LiYTe4Pb2 (PBE-GGA)

Data for a relaxed structure of LiYTe4Pb2.

Summary:
SG: No. 10
Crystal system: monoclinic
Uncorrected formation energy (meV/atom): -812.8

```
LiYTe4Pb2
1.0
-1.206 -4.088 -1.409
6.690 -0.663 -3.800
0.933 -2.781 7.271
Li Y Te Pb
1 1 4 2
direct
0.500 0.500 0.000
0.000 0.000 0.000
0.500 0.246 0.230
0.500 0.754 0.770
0.000 0.256 0.771
0.000 0.744 0.229
0.500 0.000 0.500
0.000 0.500 0.500
```